(1)
# PmDy2Ho4 | Alexandria | PBE | optimized geometry
data_PmDy2Ho4
_cell_length_a 16.620
_cell_length_b 3.519
_cell_length_c 8.720
_cell_angle_alpha 90.00
_cell_angle_beta 119.48
_cell_angle_gamma 90.00
_symmetry_space_group_name_H-M 'C 1 2/m 1'
_symmetry_Int_Tables_number 12
loop_
_symmetry_equiv_pos_as_xyz
'x,y,z'
'-x,-y,-z'
'-x,y,-z'
'x,-y,z'
'x+1/2,y+1/2,z'
'-x+1/2,-y+1/2,-z'
'-x+1/2,y+1/2,-z'
'x+1/2,-y+1/2,z'
loop_
_atom_site_label
_atom_site_fract_x
_atom_site_fract_y
_atom_site_fract_z
Pm1 0.000 0.000 0.000
Dy1 0.070 0.000 0.430
Ho1 0.142 0.500 0.835
Ho2 0.205 0.500 0.294
# Total magnetic moment = 0.0 μB per cell
# DFT formation energy = 35.6 meV/atom
# Crystal system = monoclinic



(2)
# Ce2VNiN5 | Alexandria | PBE | optimized geometry
data_Ce2VNiN5
_cell_length_a 3.220
_cell_length_b 12.819
_cell_length_c 10.122
_cell_angle_alpha 90.00
_cell_angle_beta 90.00
_cell_angle_gamma 90.00
_symmetry_space_group_name_H-M 'C m c 21'
_symmetry_Int_Tables_number 36
loop_
_symmetry_equiv_pos_as_xyz
'x,y,z'
'-x,-y,z+1/2'
'-x,y,z'
'x,-y,z+1/2'
'x+1/2,y+1/2,z'
'-x+1/2,-y+1/2,z+1/2'
'-x+1/2,y+1/2,z'
'x+1/2,-y+1/2,z+1/2'
loop_
_atom_site_label
_atom_site_fract_x
_atom_site_fract_y
_atom_site_fract_z
Ce1 0.000 0.105 0.000
Ce2 0.000 0.145 0.629
V1 0.000 0.195 0.336
Ni1 0.000 0.470 0.769
N1 0.000 0.060 0.379
N2 0.000 0.282 0.965
N3 0.000 0.324 0.699
N4 0.000 0.371 0.316
N5 0.000 0.487 0.090
# E_form (uncorrected) = -0.826 eV/atom
# Total magnetic moment = 0.0 μB per cell
# Crystal system = orthorhombic



(3)
# FeCu2Te | Alexandria | PBE | optimized geometry
data_FeCu2Te
_cell_length_a 3.691
_cell_length_b 3.831
_cell_length_c 8.491
_cell_angle_alpha 90.00
_cell_angle_beta 90.00
_cell_angle_gamma 90.00
_symmetry_space_group_name_H-M 'I m m m'
_symmetry_Int_Tables_number 71
_symmetry_space_group_name_Hall '-I 2 2'
loop_
_atom_site_label
_atom_site_fract_x
_atom_site_fract_y
_atom_site_fract_z
Fe1 0.000 0.000 0.000
Cu1 0.000 0.500 0.252
Te1 0.000 0.000 0.500
# E_form (uncorrected) = 0.345 eV/atom
# Total magnetic moment = 4.9 μB per cell
# Crystal system = orthorhombic



(4)
# NaTa2Al2 | Alexandria | PBE | optimized geometry
data_NaTa2Al2
_cell_length_a 8.358
_cell_length_b 8.358
_cell_length_c 2.811
_cell_angle_alpha 90.00
_cell_angle_beta 90.00
_cell_angle_gamma 90.00
_symmetry_space_group_name_H-M 'P 4/m b m'
_symmetry_Int_Tables_number 127
_symmetry_space_group_name_Hall '-P 4 2ab'
loop_
_atom_site_label
_atom_site_fract_x
_atom_site_fract_y
_atom_site_fract_z
Na1 0.000 0.000 0.000
Ta1 0.117 0.383 0.500
Al1 0.175 0.675 0.000
# Total magnetic moment = 0.0 μB per cell
# DFT formation energy = 137.6 meV/atom
# Crystal system = tetragonal



(5)
# Y2Mn2N | Alexandria | PBE | optimized geometry
data_Y2Mn2N
_cell_length_a 5.646
_cell_length_b 5.646
_cell_length_c 5.187
_cell_angle_alpha 90.00
_cell_angle_beta 90.00
_cell_angle_gamma 90.00
_symmetry_space_group_name_H-M 'P 4/m b m'
_symmetry_Int_Tables_number 127
_symmetry_space_group_name_Hall '-P 4 2ab'
loop_
_atom_site_label
_atom_site_fract_x
_atom_site_fract_y
_atom_site_fract_z
Y1 0.171 0.329 0.000
Mn1 0.177 0.677 0.500
N1 0.000 0.000 0.500
# E_form (uncorrected) = 0.429 eV/atom
# Total magnetic moment = 9.5 μB per cell
# Crystal system = tetragonal



(6)
# Nd2TlHg6 | Alexandria | PBE | optimized geometry
data_Nd2TlHg6
_cell_length_a 8.551
_cell_length_b 8.848
_cell_length_c 6.206
_cell_angle_alpha 90.00
_cell_angle_beta 92.74
_cell_angle_gamma 90.00
_symmetry_space_group_name_H-M 'C 1 2/m 1'
_symmetry_Int_Tables_number 12
loop_
_symmetry_equiv_pos_as_xyz
'x,y,z'
'-x,-y,-z'
'-x,y,-z'
'x,-y,z'
'x+1/2,y+1/2,z'
'-x+1/2,-y+1/2,-z'
'-x+1/2,y+1/2,-z'
'x+1/2,-y+1/2,z'
loop_
_atom_site_label
_atom_site_fract_x
_atom_site_fract_y
_atom_site_fract_z
Nd1 0.178 0.000 0.177
Tl1 0.000 0.500 0.500
Hg1 0.000 0.332 0.000
Hg2 0.164 0.166 0.667
# Total magnetic moment = 0.0 μB per cell
# DFT formation energy = -303.8 meV/atom
# Crystal system = monoclinic



(7)
# Ac5LaPd2 | Alexandria | PBE | optimized geometry
data_Ac5LaPd2
_cell_length_a 4.100
_cell_length_b 18.188
_cell_length_c 16.117
_cell_angle_alpha 90.00
_cell_angle_beta 90.00
_cell_angle_gamma 90.00
_symmetry_space_group_name_H-M 'C m c m'
_symmetry_Int_Tables_number 63
_symmetry_space_group_name_Hall '-C 2c 2'
loop_
_atom_site_label
_atom_site_fract_x
_atom_site_fract_y
_atom_site_fract_z
Ac1 0.000 0.006 0.127
Ac2 0.000 0.346 0.002
Ac3 0.000 0.346 0.250
La1 0.000 0.343 0.750
Pd1 0.000 0.211 0.124
# Total magnetic moment = 0.0 μB per cell
# DFT formation energy = -337.4 meV/atom
# Crystal system = orthorhombic



(8)
# Pm2PdPb5 | Alexandria | PBE | optimized geometry
data_Pm2PdPb5
_cell_length_a 8.130
_cell_length_b 14.947
_cell_length_c 3.718
_cell_angle_alpha 90.00
_cell_angle_beta 90.00
_cell_angle_gamma 90.00
_symmetry_space_group_name_H-M 'P b a m'
_symmetry_Int_Tables_number 55
loop_
_symmetry_equiv_pos_as_xyz
'x,y,z'
'-x,-y,-z'
'-x,-y,z'
'x,y,-z'
'x+1/2,-y+1/2,-z'
'-x+1/2,y+1/2,z'
'-x+1/2,y+1/2,-z'
'x+1/2,-y+1/2,z'
loop_
_atom_site_label
_atom_site_fract_x
_atom_site_fract_y
_atom_site_fract_z
Pm1 0.231 0.123 0.000
Pd1 0.000 0.000 0.500
Pb1 0.000 0.500 0.500
Pb2 0.013 0.265 0.500
Pb3 0.199 0.891 0.000
# Total magnetic moment = 0.0 μB per cell
# DFT formation energy = -338.1 meV/atom
# Crystal system = orthorhombic



Q: What is the total magnetic moment in the sixth record?
A: 0.0 μB per cell